Record 1
An optimized crystal structure of LiZnFe2. Source: the Alexandria database, functional PBE-GGA.

DOS at the Fermi energy	3.06	states/eV per cell
ΔE_f	0.123	eV per atom
symmetry	C2/m (12)

abc: 4.9436 4.9436 2.4765
angles: 80.02 80.02 120.49
Closest atoms and distances in Å follow each position.
Positions (direct):
Li1 0.5000 0.0000 0.5000  2 Zn 2.45, 2 Li 2.48, 4 Fe 2.57
Fe1 0.0000 0.0000 0.0000  4 Fe 2.45-2.48, 2 Zn 2.57, 2 Li 2.57
Zn1 0.0000 0.5000 0.5000  2 Li 2.45, 2 Zn 2.48, 4 Fe 2.57
Fe2 0.5000 0.5000 0.0000  4 Fe 2.45-2.48, 2 Li 2.57, 2 Zn 2.57


Record 2
An optimized crystal structure of LiZn2Fe. Source: the Alexandria database, functional PBE-GGA.

DOS at the Fermi energy	1.67	states/eV per cell
ΔE_f	-0.061	eV per atom
symmetry	P4/mmm (123)

abc: 4.3745 2.7170 4.3745
angles: 90.00 90.00 90.00
Closest atoms and distances in Å follow each position.
Positions (direct):
Li1 0.5000 0.6250 0.8749  8 Zn 2.57, 2 Li 2.72
Fe1 0.0000 0.6249 0.3751  8 Zn 2.57-2.58, 2 Fe 2.72
Zn1 0.0000 0.1251 0.8752  4 Fe 2.57-2.58, 4 Li 2.57, 2 Zn 2.72
Zn2 0.5000 0.1250 0.3749  4 Li 2.57, 4 Fe 2.57, 2 Zn 2.72


Record 3
An optimized crystal structure of LiZnFe2. Source: the Alexandria database, functional PBE-GGA.

DOS at the Fermi energy	2.67	states/eV per cell
ΔE_f	0.093	eV per atom
symmetry	Pmmm (47)

abc: 2.8078 4.0478 4.2704
angles: 90.00 90.00 90.00
Closest atoms and distances in Å follow each position.
Positions (direct):
Li1 0.5000 0.0000 0.5000  4 Zn 2.46, 4 Fe 2.56
Fe1 0.0000 0.0000 0.0000  4 Fe 2.46, 4 Li 2.56
Fe2 0.5000 0.5000 0.0000  4 Fe 2.46, 4 Zn 2.56
Zn1 0.0000 0.5000 0.5000  4 Li 2.46, 4 Fe 2.56


Record 4
An optimized crystal structure of Li2ZnFe. Source: the Alexandria database, functional PBE-GGA.

DOS at the Fermi energy	2.44	states/eV per cell
ΔE_f	0.093	eV per atom
symmetry	Cmmm (65)

abc: 2.5274 2.5274 9.1134
angles: 90.00 90.00 112.17
Closest atoms and distances in Å follow each position.
Positions (direct):
Li1 0.0000 0.0000 0.5080  6 Li 2.53-2.82, 2 Fe 2.62, 2 Zn 2.74
Li2 0.0000 0.0000 0.9920  6 Li 2.53-2.82, 2 Fe 2.62, 2 Zn 2.74
Zn1 0.5000 0.5000 0.2500  6 Zn 2.53-2.82, 4 Li 2.74
Fe1 0.5000 0.5000 0.7500  6 Fe 2.53-2.82, 4 Li 2.62